No. 1
Computed, not measured: crystalline Sc2NbTlH at its relaxed geometry at the PBE level of DFT.

Lattice parameters (Å, degrees): 4.518 4.518 4.183 90.00 90.00 90.00
Atoms (fractional coordinates):
Sc1 0.000 0.500 0.000
Sc2 0.500 0.000 0.000
Nb1 0.000 0.000 0.500
Tl1 0.500 0.500 0.500
H1 0.000 0.000 0.000

## Properties
Electronic total energy in eV/cell: -29.47
Symmetry: P4/mmm, No. 123

---

No. 2
Computed, not measured: crystalline ScBe2Cr at its relaxed geometry at the PBE level of DFT.

Lattice parameters (Å, degrees): 8.714 8.714 8.714 17.25 17.25 17.25
Atoms (fractional coordinates):
Sc1 0.000 0.000 0.000
Be1 0.496 0.496 0.496
Be2 0.760 0.760 0.760
Cr1 0.237 0.237 0.237

## Properties
E_form in meV/atom: 580
Symmetry: R3m, No. 160
Polymorph energy (0 for the lowest one) in eV/atom: 0.537

---

No. 3
Computed, not measured: crystalline Pm3B4Ir4 at its relaxed geometry at the PBE level of DFT.

Lattice parameters (Å, degrees): 3.613 4.295 11.542 83.82 81.14 89.90
Atoms (fractional coordinates):
Pm1 0.000 0.000 0.000
Pm2 0.350 0.895 0.299
Pm3 0.650 0.105 0.701
B1 0.111 0.590 0.777
B2 0.245 0.169 0.511
B3 0.755 0.831 0.489
B4 0.889 0.410 0.223
Ir1 0.212 0.651 0.577
Ir2 0.437 0.448 0.124
Ir3 0.563 0.552 0.876
Ir4 0.788 0.349 0.423

## Properties
E_form in meV/atom: -562
Symmetry: P-1, No. 2

---

No. 4
Computed, not measured: crystalline CaHo3S4 at its relaxed geometry at the PBE level of DFT.

Lattice parameters (Å, degrees): 6.777 6.777 6.777 131.96 131.96 70.30
Atoms (fractional coordinates):
Ca1 0.000 0.000 0.000
Ho1 0.250 0.750 0.500
Ho2 0.500 0.500 0.000
Ho3 0.750 0.250 0.500
S1 0.000 0.500 0.500
S2 0.250 0.250 0.000
S3 0.500 0.000 0.500
S4 0.750 0.750 0.000

## Properties
Symmetry: I4/mmm, No. 139
Uncorrected formation energy in eV per formula unit: -16.08

---

No. 5
Computed, not measured: crystalline UNbOs2 at its relaxed geometry at the PBE level of DFT.

Lattice parameters (Å, degrees): 3.080 3.080 7.356 90.00 90.00 90.00
Atoms (fractional coordinates):
U1 0.000 0.000 0.000
Nb1 0.000 0.000 0.500
Os1 0.500 0.500 0.277
Os2 0.500 0.500 0.723

## Properties
E_form in meV/atom: -158
Symmetry: P4/mmm, No. 123

---

No. 6
Computed, not measured: crystalline BaLi2SmTl4 at its relaxed geometry at the PBE level of DFT.

Lattice parameters (Å, degrees): 11.465 11.465 11.465 24.80 24.80 24.80
Atoms (fractional coordinates):
Ba1 0.000 0.000 0.000
Li1 0.231 0.231 0.231
Li2 0.769 0.769 0.769
Sm1 0.500 0.500 0.500
Tl1 0.119 0.119 0.119
Tl2 0.400 0.400 0.400
Tl3 0.600 0.600 0.600
Tl4 0.881 0.881 0.881

## Properties
E_form in meV/atom: -341
Symmetry: R-3m, No. 166

---

No. 7
Computed, not measured: crystalline Ac2NbMoN5 at its relaxed geometry at the PBE level of DFT.

Lattice parameters (Å, degrees): 7.521 7.521 10.709 90.00 90.00 153.04
Atoms (fractional coordinates):
Ac1 0.118 0.882 0.500
Ac2 0.139 0.861 0.123
Ac3 0.861 0.139 0.623
Ac4 0.882 0.118 0.000
Nb1 0.212 0.788 0.832
Nb2 0.788 0.212 0.332
Mo1 0.448 0.552 0.274
Mo2 0.552 0.448 0.774
N1 0.051 0.949 0.856
N2 0.291 0.709 0.464
N3 0.319 0.681 0.202
N4 0.346 0.654 0.822
N5 0.499 0.501 0.617
N6 0.501 0.499 0.117
N7 0.654 0.346 0.322
N8 0.681 0.319 0.702
N9 0.709 0.291 0.964
N10 0.949 0.051 0.356

## Properties
Symmetry: Cmc2_1, No. 36
Uncorrected formation energy in eV per formula unit: -8.33

---

No. 8
Computed, not measured: crystalline YbH12Cl3O6 at its relaxed geometry at the PBE level of DFT.

Lattice parameters (Å, degrees): 7.852 6.678 12.181 90.00 127.23 90.00
Atoms (fractional coordinates):
Yb1 0.000 0.166 0.250
Yb2 0.000 0.834 0.750
H1 0.029 0.444 0.881
H2 0.029 0.556 0.381
H3 0.206 0.483 0.188
H4 0.206 0.517 0.688
H5 0.231 0.102 0.126
H6 0.231 0.898 0.626
H7 0.315 0.075 0.731
H8 0.315 0.925 0.231
H9 0.370 0.317 0.536
H10 0.370 0.683 0.036
H11 0.471 0.241 0.466
H12 0.471 0.759 0.966
H13 0.529 0.241 0.034
H14 0.529 0.759 0.534
H15 0.630 0.317 0.964
H16 0.630 0.683 0.464
H17 0.685 0.075 0.769
H18 0.685 0.925 0.269
H19 0.769 0.102 0.374
H20 0.769 0.898 0.874
H21 0.794 0.483 0.312
H22 0.794 0.517 0.812
H23 0.971 0.444 0.619
H24 0.971 0.556 0.119
Cl1 0.199 0.162 0.939
Cl2 0.199 0.838 0.439
Cl3 0.500 0.350 0.750
Cl4 0.500 0.650 0.250
Cl5 0.801 0.162 0.561
Cl6 0.801 0.838 0.061
O1 0.061 0.435 0.150
O2 0.061 0.565 0.650
O3 0.251 0.060 0.211
O4 0.251 0.940 0.711
O5 0.335 0.289 0.445
O6 0.335 0.711 0.945
O7 0.665 0.289 0.055
O8 0.665 0.711 0.555
O9 0.749 0.060 0.289
O10 0.749 0.940 0.789
O11 0.939 0.435 0.350
O12 0.939 0.565 0.850

## Properties
Electronic total energy in eV/cell: -207.00
Symmetry: P2/c, No. 13

---

No. 9
Computed, not measured: crystalline MgTaIr at its relaxed geometry at the PBE level of DFT.

Lattice parameters (Å, degrees): 4.353 4.353 4.353 60.00 60.00 60.00
Atoms (fractional coordinates):
Mg1 0.000 0.000 0.000
Ta1 0.500 0.500 0.500
Ir1 0.750 0.750 0.750

## Properties
E_form in meV/atom: -121
Symmetry: F-43m, No. 216

---

No. 10
Computed, not measured: crystalline KTe2NCl at its relaxed geometry at the PBE level of DFT.

Lattice parameters (Å, degrees): 6.145 6.145 4.480 90.00 90.00 90.00
Atoms (fractional coordinates):
K1 0.000 0.000 0.000
Te1 0.000 0.500 0.000
Te2 0.500 0.000 0.000
N1 0.000 0.000 0.500
Cl1 0.500 0.500 0.500

## Properties
Symmetry: P4/mmm, No. 123
Polymorph energy (0 for the lowest one) in eV/atom: 0.958
Uncorrected formation energy in eV per formula unit: 8.60

---

No. 11
Computed, not measured: crystalline Rb2TaRe2 at its relaxed geometry at the PBE level of DFT.

Lattice parameters (Å, degrees): 9.596 9.596 2.665 90.00 90.00 90.00
Atoms (fractional coordinates):
Rb1 0.109 0.391 0.000
Rb2 0.391 0.891 0.000
Rb3 0.609 0.109 0.000
Rb4 0.891 0.609 0.000
Ta1 0.000 0.000 0.000
Ta2 0.500 0.500 0.000
Re1 0.195 0.695 0.500
Re2 0.305 0.195 0.500
Re3 0.695 0.805 0.500
Re4 0.805 0.305 0.500

## Properties
E_form in meV/atom: 2572
Symmetry: P4/mbm, No. 127
Polymorph energy (0 for the lowest one) in eV/atom: 0.898

---

No. 12
Computed, not measured: crystalline Rb3SnAs at its relaxed geometry at the PBE level of DFT.

Lattice parameters (Å, degrees): 8.500 8.500 9.117 120.32 120.32 82.91
Atoms (fractional coordinates):
Rb1 0.057 0.057 0.349
Rb2 0.078 0.463 0.230
Rb3 0.463 0.078 0.230
Rb4 0.537 0.922 0.770
Rb5 0.922 0.537 0.770
Rb6 0.943 0.943 0.651
Sn1 0.446 0.446 0.752
Sn2 0.554 0.554 0.248
As1 0.299 0.299 0.873
As2 0.701 0.701 0.127

## Properties
E_form in meV/atom: -202
Symmetry: C2/m, No. 12
Polymorph energy (0 for the lowest one) in eV/atom: 0.000

---

Number 1: DOS(E_F) 0.691 states/eV/atom. Number 2: DOS(E_F) 0.752 states/eV/atom. Number 3: DOS(E_F) 0.476 states/eV/atom. Number 4: DOS(E_F) 0.190 states/eV/atom. Number 5: DOS(E_F) 0.913 states/eV/atom. Number 6: DOS(E_F) 0.448 states/eV/atom. Number 7: DOS(E_F) 0.468 states/eV/atom. Number 8: DOS(E_F) 0.983 states/eV/atom. Number 9: DOS(E_F) 1.660 states/eV/atom. Number 10: DOS(E_F) 1.805 states/eV/atom. Number 11: DOS(E_F) 1.098 states/eV/atom. Number 12: DOS(E_F) 0.251 states/eV/atom.